This record from Alexandria via LeMat-Bulk describes a relaxed CeNdEr2S4 crystal. The functional is PBE.

a b c (Å): 6.7998 3.9135 6.9580
angles (deg): 90.00 108.91 90.00
Last column: nearest neighbours and their distance in Å.
Space group P2/m (No. 10)
Symmetry-distinct sites (fractional):
Ce  0.0000  0.0000  0.0000 x1  6 S 2.86
Nd  0.5000  0.5000  0.0000 x1  6 S 2.87
Er  0.0000  0.5000  0.5000 x1  6 S 2.73
Er  0.5000  0.0000  0.5000 x1  6 S 2.74
S  0.2424  0.0000  0.7321 x2  3 Er 2.73-2.74, 1 Ce 2.86, 2 Nd 2.87
S  0.2543  0.5000  0.2668 x2  3 Er 2.73-2.74, 2 Ce 2.86, 1 Nd 2.87

Output
Raw total energy (eV/atom): -6.549
D(E_F) (states/eV per atom): 0.922
Raw formation energy (eV/atom): -2.01

***

This record from Alexandria via LeMat-Bulk describes a relaxed ThScTlPd crystal. The functional is PBE.

a b c (Å): 7.3036 7.3036 7.3036
angles (deg): 90.00 90.00 90.00
Last column: nearest neighbours and their distance in Å.
Space group F-43m (No. 216)
Symmetry-distinct sites (fractional):
Th  0.0000  0.0000  0.0000 x4  4 Tl 3.16, 4 Pd 3.16
Sc  0.0000  0.0000  0.5000 x4  4 Tl 3.16, 4 Pd 3.16
Tl  0.2500  0.2500  0.2500 x4  4 Th 3.16, 4 Sc 3.16
Pd  0.2500  0.2500  0.7500 x4  4 Th 3.16, 4 Sc 3.16

Output
Raw total energy (eV/atom): -5.675
D(E_F) (states/eV per atom): 1.034
Formation energy (eV/atom): -0.3473

***

This record from Alexandria via LeMat-Bulk describes a relaxed NpIr2Pt crystal. The functional is PBE.

a b c (Å): 4.1407 4.1407 3.9601
angles (deg): 90.00 90.00 90.00
Last column: nearest neighbours and their distance in Å.
Space group P4/mmm (No. 123)
Symmetry-distinct sites (fractional):
Np  0.0000  0.0000  0.0000 x1  8 Ir 2.86, 4 Pt 2.93
Ir  0.0000  0.5000  0.5000 x2  4 Np 2.86, 4 Pt 2.86, 4 Ir 2.93
Pt  0.5000  0.5000  0.0000 x1  8 Ir 2.86, 4 Np 2.93

Output
Raw total energy (eV/atom): -9.585
Energy above the most stable polymorph in this dataset (meV per atom): 0
D(E_F) (states/eV per atom): 2.831
Formation energy (eV/atom): -0.4089

***

This record from Alexandria via LeMat-Bulk describes a relaxed Y2CuOsC crystal. The functional is PBE.

a b c (Å): 4.9489 4.9489 3.8720
angles (deg): 90.00 90.00 90.00
Last column: nearest neighbours and their distance in Å.
Space group P4/mmm (No. 123)
Symmetry-distinct sites (fractional):
Y  0.0000  0.5000  0.0000 x2  2 C 2.47
Cu  0.0000  0.0000  0.5000 x1  8 Y 3.14, 4 Os 3.50
Os  0.5000  0.5000  0.5000 x1  2 C 1.94
C  0.5000  0.5000  0.0000 x1  2 Os 1.94

Output
Raw total energy (eV/atom): -7.793
D(E_F) (states/eV per atom): 0.462
Formation energy (eV/atom): -0.2972

***

This record from Alexandria via LeMat-Bulk describes a relaxed NbZnPt3 crystal. The functional is PBE.

a b c (Å): 4.8929 4.8929 4.8929
angles (deg): 90.00 90.00 90.00
Last column: nearest neighbours and their distance in Å.
Space group Pm-3m (No. 221)
Symmetry-distinct sites (fractional):
Nb  0.0000  0.0000  0.0000 x1  6 Pt 2.45
Zn  0.5000  0.5000  0.5000 x1  12 Pt 3.46
Pt  0.0000  0.0000  0.5000 x3  2 Nb 2.45

Output
Raw total energy (eV/atom): -4.941
Energy above the most stable polymorph in this dataset (meV per atom): 250
D(E_F) (states/eV per atom): 1.001
Formation energy (eV/atom): 0.9517

***

This record from Alexandria via LeMat-Bulk describes a relaxed TlSb2Se crystal. The functional is PBE.

a b c (Å): 3.6984 5.1863 5.5679
angles (deg): 90.00 90.00 90.00
Last column: nearest neighbours and their distance in Å.
Space group Pmmm (No. 47)
Symmetry-distinct sites (fractional):
Tl  0.0000  0.0000  0.0000 x1  4 Sb 3.18, 4 Se 3.34
Sb  0.0000  0.5000  0.5000 x1  4 Se 3.18, 4 Sb 3.34
Sb  0.5000  0.5000  0.0000 x1  4 Tl 3.18, 4 Sb 3.34
Se  0.5000  0.0000  0.5000 x1  4 Sb 3.18, 4 Tl 3.34

Output
Raw total energy (eV/atom): -3.404
Energy above the most stable polymorph in this dataset (meV per atom): 227
D(E_F) (states/eV per atom): 0.670
Raw formation energy (eV/atom): 0.12

***

This record from Alexandria via LeMat-Bulk describes a relaxed Tb2Ga6Cu crystal. The functional is PBE.

a b c (Å): 3.7478 4.1938 23.1565
angles (deg): 90.00 90.00 90.00
Last column: nearest neighbours and their distance in Å.
Space group Amm2 (No. 38)
Symmetry-distinct sites (fractional):
Tb  0.0000  0.0000  0.0000 x2  4 Cu 3.04, 8 Ga 3.09-3.31
Tb  0.0000  0.0000  0.3333 x2  10 Ga 3.03-3.18
Ga  0.0000  0.0000  0.6233 x2  2 Cu 2.54, 5 Ga 2.62-2.83
Ga  0.0000  0.0000  0.7364 x2  5 Ga 2.62-2.83
Ga  0.5000  0.0000  0.1116 x2  2 Cu 2.54, 5 Ga 2.56-2.83
Ga  0.5000  0.0000  0.2224 x2  5 Ga 2.56-2.83
Ga  0.5000  0.0000  0.4442 x2  1 Cu 2.44, 2 Ga 2.54
Ga  0.5000  0.0000  0.8823 x2  2 Ga 2.54
Cu  0.5000  0.0000  0.5494 x2  5 Ga 2.44-2.54

Output
Raw total energy (eV/atom): -3.861
D(E_F) (states/eV per atom): 0.542
Formation energy (eV/atom): -0.3588

***

This record from Alexandria via LeMat-Bulk describes a relaxed KLaCl2 crystal. The functional is PBE.

a b c (Å): 7.0914 7.0914 12.8365
angles (deg): 90.00 90.00 90.00
Last column: nearest neighbours and their distance in Å.
Space group I-42d (No. 122)
Symmetry-distinct sites (fractional):
K  0.0000  0.0000  0.0000 x4  4 Cl 3.08
La  0.0000  0.0000  0.5000 x4  4 Cl 2.88
Cl  0.2271  0.2500  0.6250 x8  2 La 2.88, 2 K 3.08

Output
Raw total energy (eV/atom): -3.815
Energy above the most stable polymorph in this dataset (meV per atom): 283
D(E_F) (states/eV per atom): 1.160
Raw formation energy (eV/atom): -1.39

***

This record from Alexandria via LeMat-Bulk describes a relaxed TmTh2Si2 crystal. The functional is PBE.

a b c (Å): 7.5923 7.5923 4.2944
angles (deg): 90.00 90.00 90.00
Last column: nearest neighbours and their distance in Å.
Space group P4/mbm (No. 127)
Symmetry-distinct sites (fractional):
Tm  0.0000  0.0000  0.0000 x2  4 Si 3.03
Th  0.1783  0.3217  0.5000 x4  6 Si 3.06-3.15
Si  0.1185  0.6185  0.0000 x4  1 Si 2.54

Output
Raw total energy (eV/atom): -6.710
D(E_F) (states/eV per atom): 1.025
Raw formation energy (eV/atom): -0.68

***

This record from Alexandria via LeMat-Bulk describes a relaxed Tb2ScSn crystal. The functional is PBE.

a b c (Å): 3.4474 3.4474 34.9450
angles (deg): 90.00 90.00 120.00
Last column: nearest neighbours and their distance in Å.
Space group R-3m (No. 166, hexagonal axes)
Symmetry-distinct sites (fractional):
Tb  0.0000  0.0000  0.0898 x6  1 Sn 3.14, 3 Sc 3.34, 6 Tb 3.45
Sc  0.0000  0.0000  0.5000 x3  6 Tb 3.34, 6 Sc 3.45
Sn  0.0000  0.0000  0.0000 x3  2 Tb 3.14, 6 Sn 3.45

Output
Raw total energy (eV/atom): -4.844
Energy above the most stable polymorph in this dataset (meV per atom): 468
D(E_F) (states/eV per atom): 0.993
Formation energy (eV/atom): 0.0543

***

This record from Alexandria via LeMat-Bulk describes a relaxed TbSc2Tc crystal. The functional is PBE.

a b c (Å): 7.4210 8.4876 5.8978
angles (deg): 90.00 90.00 90.00
Last column: nearest neighbours and their distance in Å.
Space group Pnma (No. 62)
Symmetry-distinct sites (fractional):
Tb  0.0366  0.2500  0.1182 x4  2 Tc 2.80-2.92
Sc  0.1729  0.0633  0.6396 x8  3 Tc 2.70-2.97
Tc  0.1178  0.7500  0.4264 x4  6 Sc 2.70-2.97, 2 Tb 2.80-2.92

Output
Raw total energy (eV/atom): -7.065
Energy above the most stable polymorph in this dataset (meV per atom): 0
D(E_F) (states/eV per atom): 0.900
Formation energy (eV/atom): -0.1502

***

This record from Alexandria via LeMat-Bulk describes a relaxed TbCeCo crystal. The functional is PBE.

a b c (Å): 3.5964 4.9499 7.6289
angles (deg): 90.00 90.00 90.00
Last column: nearest neighbours and their distance in Å.
Space group Pmmn (No. 59, origin choice 2)
Symmetry-distinct sites (fractional):
Tb  0.2500  0.2500  0.1280 x2  1 Co 2.72
Ce  0.2500  0.7500  0.4426 x2  2 Co 2.43
Co  0.2500  0.2500  0.7715 x2  2 Ce 2.43, 1 Tb 2.72

Output
Raw total energy (eV/atom): -6.031
Energy above the most stable polymorph in this dataset (meV per atom): 0
D(E_F) (states/eV per atom): 1.206
Formation energy (eV/atom): -0.1406

***

This record from Alexandria via LeMat-Bulk describes a relaxed NdTlAgSe2 crystal. The functional is PBE.

a b c (Å): 6.5883 5.9426 8.1622
angles (deg): 90.00 104.00 90.00
Last column: nearest neighbours and their distance in Å.
Space group P2/c (No. 13)
Symmetry-distinct sites (fractional):
Nd  0.0000  0.0094  0.2500 x2  4 Se 2.89-2.90
Tl  0.5000  0.3242  0.2500 x2  6 Se 3.33-3.58, 2 Ag 3.59
Ag  0.0000  0.5000  0.0000 x2  2 Se 2.54
Se  0.2708  0.1869  0.5578 x4  1 Ag 2.54

Output
Raw total energy (eV/atom): -4.136
D(E_F) (states/eV per atom): 0.378
Raw formation energy (eV/atom): -0.74

***

This record from Alexandria via LeMat-Bulk describes a relaxed SrYSb2 crystal. The functional is PBE.

a b c (Å): 3.5148 4.1240 8.3438
angles (deg): 90.00 95.38 90.00
Last column: nearest neighbours and their distance in Å.
Space group P2/m (No. 10)
Symmetry-distinct sites (fractional):
Sr  0.0000  0.0000  0.0000 x1  8 Sb 3.46-3.57, 2 Sr 3.51
Y  0.0000  0.0000  0.5000 x1  8 Sb 3.18-3.48, 2 Y 3.51
Sb  0.4702  0.5000  0.7310 x2  4 Y 3.18-3.48, 2 Sr 3.46, 2 Sb 3.51

Output
Raw total energy (eV/atom): -4.969
Energy above the most stable polymorph in this dataset (meV per atom): 91
D(E_F) (states/eV per atom): 0.414
Raw formation energy (eV/atom): -0.87

***

This record from Alexandria via LeMat-Bulk describes a relaxed LiSc4Al5 crystal. The functional is PBE.

a b c (Å): 3.1678 3.1678 18.5243
angles (deg): 90.00 90.00 90.00
Last column: nearest neighbours and their distance in Å.
Space group P4/mmm (No. 123)
Symmetry-distinct sites (fractional):
Li  0.0000  0.0000  0.0000 x1  8 Al 2.68
Sc  0.0000  0.0000  0.1852 x2  8 Al 2.96-2.98, 4 Sc 3.17
Sc  0.0000  0.0000  0.3954 x2  8 Al 2.96-2.97, 4 Sc 3.17
Al  0.5000  0.5000  0.0790 x2  4 Li 2.68, 1 Al 2.93, 4 Sc 2.98
Al  0.5000  0.5000  0.2900 x2  8 Sc 2.96-2.97, 4 Al 3.17
Al  0.5000  0.5000  0.5000 x1  8 Sc 2.96, 4 Al 3.17

Output
Raw total energy (eV/atom): -4.983
D(E_F) (states/eV per atom): 0.561
Formation energy (eV/atom): -0.3881

***

This record from Alexandria via LeMat-Bulk describes a relaxed NaY3I8 crystal. The functional is PBE.

a b c (Å): 8.5855 8.5855 15.5103
angles (deg): 90.00 90.00 120.00
Last column: nearest neighbours and their distance in Å.
Space group P6_3mc (No. 186)
Symmetry-distinct sites (fractional):
Na  0.3333  0.6667  0.0000 x2  6 I 3.24-3.25
Y  0.1810  0.3621  0.7442 x6  6 I 3.06-3.18
I  0.0000  0.0000  0.3530 x2  3 Y 3.18
I  0.0041  0.5020  0.3670 x6  2 Y 3.06, 1 Na 3.25
I  0.1648  0.3295  0.1324 x6  2 Y 3.11, 1 Na 3.24
I  0.3333  0.6667  0.6071 x2  3 Y 3.11

Output
Raw total energy (eV/atom): -4.038
D(E_F) (states/eV per atom): 0.378
Raw formation energy (eV/atom): -1.28

***

This record from Alexandria via LeMat-Bulk describes a relaxed Ce2TePb crystal. The functional is PBE.

a b c (Å): 3.7654 3.7654 8.3163
angles (deg): 90.00 90.00 90.00
Last column: nearest neighbours and their distance in Å.
Space group P4/mmm (No. 123)
Symmetry-distinct sites (fractional):
Ce  0.0000  0.0000  0.2362 x2  4 Te 3.31, 4 Pb 3.45
Te  0.5000  0.5000  0.0000 x1  8 Ce 3.31
Pb  0.5000  0.5000  0.5000 x1  8 Ce 3.45, 4 Pb 3.77

Output
Raw total energy (eV/atom): -5.475
Energy above the most stable polymorph in this dataset (meV per atom): 69
D(E_F) (states/eV per atom): 3.213
Raw formation energy (eV/atom): -0.80

***

This record from Alexandria via LeMat-Bulk describes a relaxed Sm5Ho crystal. The functional is PBE.

a b c (Å): 5.1091 10.8163 7.2246
angles (deg): 90.00 90.00 90.00
Last column: nearest neighbours and their distance in Å.
Space group Pmmn (No. 59, origin choice 2)
Symmetry-distinct sites (fractional):
Sm  0.2500  0.0831  0.1244 x4  9 Sm 3.60-3.62, 3 Ho 3.60-3.61
Sm  0.2500  0.0842  0.6259 x4  10 Sm 3.59-3.63, 2 Ho 3.61
Sm  0.2500  0.7500  0.6257 x2  2 Ho 3.60-3.63, 10 Sm 3.61
Ho  0.2500  0.7500  0.1239 x2  12 Sm 3.60-3.63

Output
Raw total energy (eV/atom): -4.681
D(E_F) (states/eV per atom): 1.306
Formation energy (eV/atom): 0.0149

***

This record from Alexandria via LeMat-Bulk describes a relaxed Tb4Pm7Er crystal. The functional is PBE.

a b c (Å): 16.1881 5.9840 9.3645
angles (deg): 90.00 115.99 90.00
Last column: nearest neighbours and their distance in Å.
Space group C2/m (No. 12)
Symmetry-distinct sites (fractional):
Tb  0.0725  0.0000  0.1982 x4  4 Pm 3.31-3.67, 2 Tb 3.41-3.69
Tb  0.1729  0.0000  0.8889 x4  7 Pm 3.23-3.56
Pm  0.0000  0.0000  0.5000 x2  2 Er 2.99
Pm  0.0825  0.5000  0.9417 x4  3 Pm 3.30-3.69, 3 Tb 3.46-3.56
Pm  0.2084  0.5000  0.7292 x4  1 Er 3.10, 2 Tb 3.23-3.31, 2 Pm 3.29-3.42
Pm  0.2102  0.5000  0.3792 x4  5 Pm 3.29-3.63, 2 Tb 3.67
Er  0.0000  0.5000  0.5000 x2  4 Pm 2.99-3.10

Output
Raw total energy (eV/atom): -4.474
Energy above the most stable polymorph in this dataset (meV per atom): 215
D(E_F) (states/eV per atom): 1.594
Formation energy (eV/atom): 0.2206

***

This record from Alexandria via LeMat-Bulk describes a relaxed LiNp2Cl8 crystal. The functional is PBE.

a b c (Å): 8.4719 11.8895 5.5471
angles (deg): 90.00 104.06 90.00
Last column: nearest neighbours and their distance in Å.
Space group C2/m (No. 12)
Symmetry-distinct sites (fractional):
Li  0.0000  0.0000  0.0000 x2  2 Cl 2.57
Np  0.0000  0.3116  0.5000 x4  8 Cl 2.73-3.00
Cl  0.0000  0.2161  0.0000 x4  1 Li 2.57
Cl  0.1121  0.5000  0.7911 x4  2 Np 2.79
Cl  0.2066  0.1324  0.6059 x8  2 Np 2.73-2.77

Output
Raw total energy (eV/atom): -5.487
Energy above the most stable polymorph in this dataset (meV per atom): 0
D(E_F) (states/eV per atom): 1.410
Raw formation energy (eV/atom): -1.62